AlCr2Co | PBE-GGA | relaxed

The formation energy comes out at -0.032 eV per atom. The value obtained for the total magnetization is 0.00 μB/f.u.

abc: 2.571 2.571 7.209
angles: 90.00 90.00 90.00
Space group P4mm (No. 99)
Symmetry-distinct sites (fractional):
Al 0.000 0.000 0.000
Cr 0.000 0.000 0.459
Cr 0.500 0.500 0.730
Co 0.500 0.500 0.239